Material: ReSiRu2
Method: DFT, PBE
State: relaxed

a = 4.599 Å, b = 4.599 Å, c = 4.599 Å
α = 130.28°, β = 130.28°, γ = 72.96°
Sites, in units of the cell vectors:
Re 0.750 0.250 0.500
Ru 0.000 0.000 0.000
Ru 0.500 0.500 0.000
Si 0.250 0.750 0.500

Values from the calculation:
energy: -9.18 eV per atom
total magnetic moment: 0.00 μB/f.u.
Fermi-level density of states: 5.05 states/eV/f.u.
energy relative to the elements, uncorrected: -0.07 eV per atom